The following is a PBE+U calculation of AlV2O6 after structural relaxation, from Alexandria.

The uncorrected energy is -7.468 eV per atom. The calculation puts the density of states at the Fermi level at 0.146 states/eV/atom. The volume comes out at 124 Å³ per cell.

Cell: 3.0720 5.3185 8.0021 Å, 97.47 90.00 106.79°
With the nearest neighbours (Å) after each atom.
Sites, in units of the cell vectors:
V1 0.3098 0.6195 0.7615  4 O 1.70-1.81
V2 0.6902 0.3805 0.2385  4 O 1.70-1.81
Al1 0.0000 0.0000 0.5000  6 O 1.86-1.98
O1 0.5685 0.1370 0.3816  1 V 1.80, 2 Al 1.98
O2 0.8470 0.6940 0.3435  1 V 1.70, 1 Al 1.86
O3 0.8367 0.6733 0.8815  2 V 1.81
O4 0.1530 0.3060 0.6565  1 V 1.70, 1 Al 1.86
O5 0.4315 0.8630 0.6184  1 V 1.80, 2 Al 1.98
O6 0.1633 0.3267 0.1185  2 V 1.81